w:
The following is a DFT calculation (SCAN) of a crystal of TiFe2O4 relaxed with PBEsol.

It has space group Cmc2_1 (No. 36), with a = 2.9077 Å, b = 9.4592 Å, c = 10.3894 Å, α = 90.00°, β = 90.00° and γ = 90.00°. Symmetry generates all atoms from Ti at (0.0000, 0.1337, 0.0000), Fe at (0.0000, 0.1308, 0.3405), Fe at (0.0000, 0.4171, 0.2351), O at (0.0000, 0.0376, 0.1581), O at (0.0000, 0.2161, 0.8093), O at (0.0000, 0.2431, 0.5277) and O at (0.0000, 0.4969, 0.4229).

x:
The following is a DFT calculation (SCAN) of a crystal of TiFe2O4 relaxed with PBEsol.

It has space group Imma (No. 74), with a = 5.8804 Å, b = 5.9141 Å, c = 7.9327 Å, α = 90.00°, β = 90.00° and γ = 90.00°. Symmetry generates all atoms from Ti at (0.2500, 0.2500, 0.2500), Fe at (0.0000, 0.0000, 0.0000), Fe at (0.0000, 0.2500, 0.6200), O at (0.0000, 0.0190, 0.2467) and O at (0.2171, 0.2500, 0.9990).

Of them, w has the lowest stability.

w:
The following is a DFT calculation (SCAN) of a crystal of FeOs2 relaxed with PBEsol.

It has space group Cmcm (No. 63), with a = 2.6775 Å, b = 13.6321 Å, c = 4.2066 Å, α = 90.00°, β = 90.00° and γ = 90.00°. Symmetry generates all atoms from Fe at (0.0000, 0.2250, 0.2500), Os at (0.0000, 0.1192, 0.7500) and Os at (0.0000, 0.4406, 0.7500).

x:
The following is a DFT calculation (SCAN) of a crystal of FeOs2 relaxed with PBEsol.

It has space group C2/m (No. 12), with a = 9.5077 Å, b = 2.6714 Å, c = 6.1929 Å, α = 90.00°, β = 104.02° and γ = 90.00°. Symmetry generates all atoms from Fe at (0.0294, 0.0000, 0.3089), Os at (0.1366, 0.5000, 0.0310) and Os at (0.1880, 0.5000, 0.6348).

y:
The following is a DFT calculation (SCAN) of a crystal of FeOs2 relaxed with PBEsol.

It has space group Cm (No. 8), with a = 9.5280 Å, b = 2.6730 Å, c = 6.1877 Å, α = 90.00°, β = 103.04° and γ = 90.00°. Symmetry generates all atoms from Fe at (0.0000, 0.0000, 0.0000), Fe at (0.1682, 0.5000, 0.3346), Os at (0.0586, 0.0000, 0.6084), Os at (0.2184, 0.5000, 0.9539), Os at (0.3350, 0.0000, 0.6695) and Os at (0.3919, 0.0000, 0.2729).

Of them, w has the lowest stability.

w:
The following is a DFT calculation (SCAN) of a crystal of FeOs2 relaxed with PBEsol.

It has space group P4/mmm (No. 123), with a = 4.1402 Å, b = 4.1402 Å, c = 2.5728 Å, α = 90.00°, β = 90.00° and γ = 90.00°. Symmetry generates all atoms from Fe at (0.0000, 0.0000, 0.0000) and Os at (0.0000, 0.5000, 0.5000).

x:
The following is a DFT calculation (SCAN) of a crystal of FeOs2 relaxed with PBEsol.

It has space group P-3m1 (No. 164), with a = 2.6641 Å, b = 2.6641 Å, c = 6.3540 Å, α = 90.00°, β = 90.00° and γ = 120.00°. Symmetry generates all atoms from Fe at (0.0000, 0.0000, 0.0000) and Os at (0.3333, 0.6667, 0.6757).

Of them, w has the lowest stability.

w:
The following is a DFT calculation (SCAN) of a crystal of FeOsPt relaxed with PBEsol.

It has space group F-43m (No. 216), with a = 5.7958 Å, b = 5.7958 Å, c = 5.7958 Å, α = 90.00°, β = 90.00° and γ = 90.00°. Symmetry generates all atoms from Fe at (0.0000, 0.0000, 0.0000), Os at (0.0000, 0.0000, 0.5000) and Pt at (0.2500, 0.2500, 0.7500).

x:
The following is a DFT calculation (SCAN) of a crystal of FeOsPt relaxed with PBEsol.

It has space group P3m1 (No. 156), with a = 2.6831 Å, b = 2.6831 Å, c = 6.4523 Å, α = 90.00°, β = 90.00° and γ = 120.00°. Symmetry generates all atoms from Fe at (0.0000, 0.0000, 0.0000), Os at (0.3333, 0.6667, 0.6945) and Pt at (0.6667, 0.3333, 0.3320).

Of them, w has the lowest stability.

w:
The following is a DFT calculation (SCAN) of a crystal of FeReOs relaxed with PBEsol.

It has space group Fmm2 (No. 42), with a = 2.8396 Å, b = 4.4336 Å, c = 13.0211 Å, α = 90.00°, β = 90.00° and γ = 90.00°. Symmetry generates all atoms from Fe at (0.0000, 0.0000, 0.0000), Re at (0.0000, 0.0000, 0.6623) and Os at (0.0000, 0.0000, 0.3361).

x:
The following is a DFT calculation (SCAN) of a crystal of FeReOs relaxed with PBEsol.

It has space group P3m1 (No. 156), with a = 2.6811 Å, b = 2.6811 Å, c = 6.4093 Å, α = 90.00°, β = 90.00° and γ = 120.00°. Symmetry generates all atoms from Fe at (0.0000, 0.0000, 0.0000), Re at (0.6667, 0.3333, 0.3294) and Os at (0.3333, 0.6667, 0.6758).

Of them, w has the lowest stability.

w:
The following is a DFT calculation (SCAN) of a crystal of ScFeOs relaxed with PBEsol.

It has space group I4mm (No. 107), with a = 2.7614 Å, b = 2.7614 Å, c = 11.3523 Å, α = 90.00°, β = 90.00° and γ = 90.00°. Symmetry generates all atoms from Sc at (0.0000, 0.0000, 0.0000), Fe at (0.0000, 0.0000, 0.6766) and Os at (0.0000, 0.0000, 0.3053).

x:
The following is a DFT calculation (SCAN) of a crystal of ScFeOs relaxed with PBEsol.

It has space group F-43m (No. 216), with a = 5.9357 Å, b = 5.9357 Å, c = 5.9357 Å, α = 90.00°, β = 90.00° and γ = 90.00°. Symmetry generates all atoms from Sc at (0.0000, 0.0000, 0.0000), Fe at (0.2500, 0.2500, 0.7500) and Os at (0.2500, 0.2500, 0.2500).

Of them, x has the lowest stability.

w:
The following is a DFT calculation (SCAN) of a crystal of SrFeOs2 relaxed with PBEsol.

It has space group P4/mmm (No. 123), with a = 2.7891 Å, b = 2.7891 Å, c = 8.2484 Å, α = 90.00°, β = 90.00° and γ = 90.00°. Symmetry generates all atoms from Sr at (0.0000, 0.0000, 0.0000), Fe at (0.0000, 0.0000, 0.5000) and Os at (0.5000, 0.5000, 0.3099).

x:
The following is a DFT calculation (SCAN) of a crystal of SrFeOs2 relaxed with PBEsol.

It has space group P4mm (No. 99), with a = 2.8319 Å, b = 2.8319 Å, c = 8.4445 Å, α = 90.00°, β = 90.00° and γ = 90.00°. Symmetry generates all atoms from Sr at (0.0000, 0.0000, 0.0000), Fe at (0.5000, 0.5000, 0.3031), Os at (0.0000, 0.0000, 0.5066) and Os at (0.5000, 0.5000, 0.7033).

Of them, w has the lowest stability.

w:
The following is a DFT calculation (SCAN) of a crystal of SrFe2Os relaxed with PBEsol.

It has space group P4mm (No. 99), with a = 2.9524 Å, b = 2.9524 Å, c = 7.4442 Å, α = 90.00°, β = 90.00° and γ = 90.00°. Symmetry generates all atoms from Sr at (0.0000, 0.0000, 0.0000), Fe at (0.0000, 0.0000, 0.4889), Fe at (0.5000, 0.5000, 0.3277) and Os at (0.5000, 0.5000, 0.6728).

x:
The following is a DFT calculation (SCAN) of a crystal of SrFe2Os relaxed with PBEsol.

It has space group P4/mmm (No. 123), with a = 4.7116 Å, b = 4.7116 Å, c = 2.7604 Å, α = 90.00°, β = 90.00° and γ = 90.00°. Symmetry generates all atoms from Sr at (0.0000, 0.0000, 0.0000), Fe at (0.0000, 0.5000, 0.5000) and Os at (0.5000, 0.5000, 0.0000).

Of them, x has the lowest stability.